[1]
VASP calculation (PBE-GGA) on RbCd2CuF after structural relaxation.

Output
energy	-2.038	eV/atom
crystal system	tetragonal
N(E_F)	0.3406	states/eV per atom
space group	P4/mmm
total moment	0.00	μB/f.u.

a b c (Å): 5.178 5.178 5.139
angles (deg): 90.00 90.00 90.00
Atoms (fractional coordinates):
Rb 0.000 0.000 0.000
Cd 0.000 0.500 0.500
Cd 0.500 0.000 0.500
Cu 0.500 0.500 0.000
F 0.000 0.000 0.500


[2]
VASP calculation (PBE-GGA) on Ac10PrSm4 after structural relaxation.

Output
energy	-3.733	eV/atom
crystal system	tetragonal
N(E_F)	1.5743	states/eV per atom
space group	I4/m
total moment	0.00	μB/f.u.
formation energy from the elements	844	kJ/mol of formula units

a b c (Å): 10.194 10.194 10.194
angles (deg): 99.56 99.56 131.90
Atoms (fractional coordinates):
Ac 0.048 0.349 0.900
Ac 0.149 0.048 0.699
Ac 0.250 0.750 0.500
Ac 0.349 0.450 0.301
Ac 0.450 0.149 0.100
Ac 0.550 0.851 0.900
Ac 0.651 0.550 0.699
Ac 0.750 0.250 0.500
Ac 0.851 0.952 0.301
Ac 0.952 0.651 0.100
Pr 0.500 0.500 0.000
Sm 0.100 0.700 0.800
Sm 0.300 0.100 0.400
Sm 0.700 0.900 0.600
Sm 0.900 0.300 0.200